No. 1
Compound: PmSbAu2
Source: Alexandria via LeMat-Bulk
Functional: PBE
Structure: optimized geometry

* uncorrected energy: -0.165 Ha/atom
* polymorph energy (0 for the lowest one): 0 meV per atom
* SG: No. 225
* formation energy from raw total energies: -0.626 eV/atom

a = 5.0873 Å, b = 5.0873 Å, c = 5.0873 Å
α = 60.00°, β = 60.00°, γ = 60.00°
Closest atoms and distances in Å follow each position.
Positions (direct):
Sb: 0.0000 0.0000 0.0000  8 Au 3.12
Au: 0.7500 0.7500 0.7500  4 Pm 3.12, 4 Sb 3.12
Pm: 0.5000 0.5000 0.5000  8 Au 3.12
Au: 0.2500 0.2500 0.2500  4 Sb 3.12, 4 Pm 3.12



No. 2
Compound: Na3GaPd
Source: Alexandria via LeMat-Bulk
Functional: PBE
Structure: optimized geometry

* uncorrected energy: -0.069 Ha/atom
* polymorph energy (0 for the lowest one): 290 meV per atom
* energy of formation from the pure elements: 263 kJ/mol of formula units
* SG: No. 221

a = 5.4139 Å, b = 5.4139 Å, c = 5.4139 Å
α = 90.00°, β = 90.00°, γ = 90.00°
Closest atoms and distances in Å follow each position.
Positions (direct):
Ga: 0.0000 0.0000 0.0000  6 Na 2.71
Na: 0.5000 0.0000 0.0000  2 Ga 2.71
Pd: 0.5000 0.5000 0.5000  12 Na 3.83
Na: 0.0000 0.0000 0.5000  2 Ga 2.71
Na: 0.0000 0.5000 0.0000  2 Ga 2.71



No. 3
Compound: Mn2CoSi2
Source: Alexandria via LeMat-Bulk
Functional: PBE
Structure: optimized geometry

* uncorrected energy: -0.277 Ha/atom
* SG: No. 127
* formation energy from raw total energies: -0.280 eV/atom

a = 6.0899 Å, b = 6.0899 Å, c = 3.2829 Å
α = 90.00°, β = 90.00°, γ = 90.00°
Closest atoms and distances in Å follow each position.
Positions (direct):
Si: 0.1392 0.3608 0.0000  2 Co 2.35, 6 Mn 2.37-2.47, 1 Si 2.40
Mn: 0.8379 0.3379 0.5000  6 Si 2.37-2.47
Si: 0.3608 0.8608 0.0000  2 Co 2.35, 6 Mn 2.37-2.47, 1 Si 2.40
Mn: 0.1621 0.6621 0.5000  6 Si 2.37-2.47
Co: 0.0000 0.0000 0.0000  4 Si 2.35
Si: 0.6392 0.1392 0.0000  2 Co 2.35, 6 Mn 2.37-2.47, 1 Si 2.40
Co: 0.5000 0.5000 0.0000  4 Si 2.35
Mn: 0.3379 0.1621 0.5000  6 Si 2.37-2.47
Si: 0.8608 0.6392 0.0000  2 Co 2.35, 6 Mn 2.37-2.47, 1 Si 2.40
Mn: 0.6621 0.8379 0.5000  6 Si 2.37-2.47



uncorrected energy of number 1 (PmSbAu2)?
-0.165 Ha/atom



Among the records above, which one has the lowest uncorrected energy?
Mn2CoSi2



uncorrected energy of number 3 (Mn2CoSi2)?
-0.277 Ha/atom



Number 3 is which compound?
Mn2CoSi2